# 1
A relaxed structure of Dy2AgAu3, computed with PBE.

Calculated values
Theoretical density in g/cm3: 13.03
Calculated formation energy in meV/atom: -613
Raw total energy in eV per cell: -25.57
Excess energy over the best structure of this formula in the dataset in eV/f.u.: 0.46
Total moment in μB per cell: 0.00
N(E_F) in states/eV/f.u.: 3.41

a b c (Å): 4.793 3.816 7.521
angles (deg): 90.00 108.49 90.00
Sites, in units of the cell vectors:
1 Dy 0.157 0.000 0.314
2 Dy 0.843 0.000 0.686
3 Ag 0.500 0.000 0.000
4 Au 0.000 0.500 0.000
5 Au 0.324 0.500 0.648
6 Au 0.676 0.500 0.352

---

# 2
A relaxed structure of NdAlGa2Ni5, computed with PBE.

Calculated values
Theoretical density in g/cm3: 7.09
Calculated formation energy in meV/atom: -85
Raw total energy in eV per cell: -44.24
Total moment in μB per cell: 0.00
N(E_F) in states/eV/f.u.: 6.57

a b c (Å): 4.496 4.496 6.998
angles (deg): 90.00 90.00 90.00
Sites, in units of the cell vectors:
1 Nd 0.000 0.000 0.000
2 Al 0.000 0.000 0.500
3 Ga 0.500 0.500 0.324
4 Ga 0.500 0.500 0.676
5 Ni 0.000 0.500 0.305
6 Ni 0.000 0.500 0.695
7 Ni 0.500 0.000 0.305
8 Ni 0.500 0.000 0.695
9 Ni 0.500 0.500 0.000